Entry 1:
The following is a GGA-PBEsol calculation of an optimized crystal structure of ZnGeOsSe2, from Alexandria.

Space group ... P4/mmm, No. 123
Magnetic moment ... 0.00 μB per formula unit
Uncorrected energy ... -4.63 eV per atom

abc: 4.7404 4.8905 4.8905
angles: 90.00 90.00 90.00
With the nearest neighbours (Å) after each atom.
Fractional positions:
Ge (0.5000, 0.0000, 0.0000)  2 Os 2.37
Zn (0.5000, 0.5000, 0.5000)  8 Se 3.41, 4 Ge 3.46
Os (0.0000, 0.0000, 0.0000)  2 Ge 2.37, 4 Se 2.45
Se (0.0000, 0.5000, 0.0000)  2 Os 2.45
Se (0.0000, 0.0000, 0.5000)  2 Os 2.45

=====

Entry 2:
The following is a GGA-PBEsol calculation of an optimized crystal structure of CdPbSe2, from Alexandria.

Space group ... R-3m, No. 166
Magnetic moment ... 0.00 μB per formula unit
Uncorrected energy ... -3.30 eV per atom

abc: 3.6161 3.6161 9.6359
angles: 79.19 79.19 60.00
With the nearest neighbours (Å) after each atom.
Fractional positions:
Se (0.1048, 0.1048, 0.6855)  3 Cd 2.72, 1 Pb 2.96
Se (0.8952, 0.8952, 0.3145)  3 Cd 2.72, 1 Pb 2.96
Cd (0.5000, 0.5000, 0.5000)  6 Se 2.72
Pb (0.0000, 0.0000, 0.0000)  2 Se 2.96

=====

Entry 3:
The following is a GGA-PBEsol calculation of an optimized crystal structure of AlMoP, from Alexandria.

Formation energy ... 727 meV/atom
Space group ... F-43m, No. 216
Magnetic moment ... 0.01 μB per formula unit
Uncorrected energy ... -6.49 eV per atom

abc: 4.0801 4.0801 4.0801
angles: 60.00 60.00 60.00
With the nearest neighbours (Å) after each atom.
Fractional positions:
Al (0.2500, 0.2500, 0.2500)  4 Mo 2.50, 4 P 2.50
P (0.5000, 0.5000, 0.5000)  4 Al 2.50
Mo (0.0000, 0.0000, 0.0000)  4 Al 2.50

=====

Entry 4:
The following is a GGA-PBEsol calculation of an optimized crystal structure of InPW2, from Alexandria.

Formation energy ... 285 meV/atom
Energy relative to the lowest polymorph listed for this composition ... 0.000 eV per atom
Space group ... Amm2, No. 38
Magnetic moment ... 0.00 μB per formula unit
Uncorrected energy ... -8.81 eV per atom

abc: 3.0031 4.4961 5.2061
angles: 90.00 106.76 90.00
With the nearest neighbours (Å) after each atom.
Fractional positions:
P (0.2854, 0.5000, 0.5708)  4 W 2.43-2.44
W (0.5924, 0.5000, 0.1849)  2 P 2.44
W (0.1916, 0.0000, 0.3832)  2 P 2.43, 1 In 2.64
In (0.9269, 0.0000, 0.8539)  3 W 2.64-2.79

=====

Entry 5:
The following is a GGA-PBEsol calculation of an optimized crystal structure of Ba2BiSb, from Alexandria.

Energy relative to the lowest polymorph listed for this composition ... 0.000 eV per atom
Space group ... Fm-3m, No. 225
Magnetic moment ... 0.00 μB per formula unit
Uncorrected energy ... -4.07 eV per atom

abc: 5.9575 5.9575 5.9575
angles: 60.00 60.00 60.00
With the nearest neighbours (Å) after each atom.
Fractional positions:
Ba (0.2500, 0.2500, 0.2500)  4 Bi 3.65, 4 Sb 3.65
Ba (0.7500, 0.7500, 0.7500)  4 Bi 3.65, 4 Sb 3.65
Sb (0.0000, 0.0000, 0.0000)  8 Ba 3.65
Bi (0.5000, 0.5000, 0.5000)  8 Ba 3.65

=====

Entry 6:
The following is a GGA-PBEsol calculation of an optimized crystal structure of ScBeAlAg2, from Alexandria.

Formation energy ... 71 meV/atom
Space group ... P4/mmm, No. 123
Magnetic moment ... 0.00 μB per formula unit
Uncorrected energy ... -4.19 eV per atom

abc: 4.3442 4.4045 4.4045
angles: 90.00 90.00 90.00
With the nearest neighbours (Å) after each atom.
Fractional positions:
Sc (0.5000, 0.5000, 0.5000)  8 Ag 3.09, 4 Al 3.11
Al (0.5000, 0.0000, 0.0000)  2 Be 2.17
Be (0.0000, 0.0000, 0.0000)  2 Al 2.17, 4 Ag 2.20
Ag (0.0000, 0.0000, 0.5000)  2 Be 2.20
Ag (0.0000, 0.5000, 0.0000)  2 Be 2.20

=====

Entry 7:
The following is a GGA-PBEsol calculation of an optimized crystal structure of LiGaPd3, from Alexandria.

Formation energy ... 101 meV/atom
Space group ... Pm-3m, No. 221
Magnetic moment ... 0.00 μB per formula unit
Uncorrected energy ... -4.54 eV per atom

abc: 4.5889 4.5889 4.5890
angles: 90.00 90.00 90.00
With the nearest neighbours (Å) after each atom.
Fractional positions:
Pd (0.5000, 0.0000, 0.0000)  2 Ga 2.29
Pd (0.0000, 0.0000, 0.5000)  2 Ga 2.29
Pd (0.0000, 0.5000, 0.0000)  2 Ga 2.29
Li (0.5000, 0.5000, 0.5000)  12 Pd 3.24
Ga (0.0000, 0.0000, 0.0000)  6 Pd 2.29

=====

Entry 8:
The following is a GGA-PBEsol calculation of an optimized crystal structure of Rb2AsAuS, from Alexandria.

Space group ... P4/mmm, No. 123
Magnetic moment ... 2.09 μB per formula unit
Uncorrected energy ... -3.07 eV per atom

abc: 4.4807 6.4770 6.4770
angles: 90.00 90.00 90.00
With the nearest neighbours (Å) after each atom.
Fractional positions:
S (0.5000, 0.0000, 0.0000)  2 Au 2.24
Rb (0.0000, 0.0000, 0.5000)  2 Au 3.24
Rb (0.0000, 0.5000, 0.0000)  2 Au 3.24
Au (0.0000, 0.0000, 0.0000)  2 S 2.24
As (0.5000, 0.5000, 0.5000)  8 Rb 3.94

=====

Entry 9:
The following is a GGA-PBEsol calculation of an optimized crystal structure of InAg3, from Alexandria.

Formation energy ... -4 meV/atom
Space group ... P4/mmm, No. 123
Magnetic moment ... 0.00 μB per formula unit
Uncorrected energy ... -3.23 eV per atom

abc: 3.1676 3.1676 7.1334
angles: 90.00 90.00 90.00
With the nearest neighbours (Å) after each atom.
Fractional positions:
In (0.5000, 0.5000, 0.0000)  8 Ag 2.92, 4 In 3.17
Ag (0.5000, 0.5000, 0.5000)  8 Ag 2.81
Ag (0.0000, 0.0000, 0.7370)  4 Ag 2.81, 4 In 2.92
Ag (0.0000, 0.0000, 0.2630)  4 Ag 2.81, 4 In 2.92

=====

Entry 10:
The following is a GGA-PBEsol calculation of an optimized crystal structure of YCuP2, from Alexandria.

Formation energy ... -854 meV/atom
Space group ... Cm, No. 8
Magnetic moment ... 0.00 μB per formula unit
Uncorrected energy ... -6.54 eV per atom

abc: 3.8341 3.8327 5.3668
angles: 110.91 110.93 90.00
With the nearest neighbours (Å) after each atom.
Fractional positions:
Cu (0.8125, 0.4350, 0.6249)  4 P 2.26
P (0.1829, 0.3129, 0.3658)  1 P 2.23, 2 Cu 2.26
P (0.9423, 0.0649, 0.8847)  1 P 2.23, 2 Cu 2.26
Y (0.5623, 0.6873, 0.1246)  8 P 2.92-2.94, 4 Cu 3.00-3.01

=====

Entry 11:
The following is a GGA-PBEsol calculation of an optimized crystal structure of Er6Co2Sn, from Alexandria.

Formation energy ... -374 meV/atom
Space group ... Immm, No. 71
Magnetic moment ... 0.00 μB per formula unit
Uncorrected energy ... -5.85 eV per atom

abc: 8.1466 8.1466 8.1466
angles: 72.99 70.27 111.71
With the nearest neighbours (Å) after each atom.
Fractional positions:
Co (0.3427, 0.0000, 0.6573)  6 Er 2.62-2.83
Co (0.5000, 0.3859, 0.1141)  1 Co 2.21
Co (0.5000, 0.6141, 0.8859)  1 Co 2.21
Co (0.6573, 0.0000, 0.3427)  6 Er 2.62-2.83
Sn (0.0000, 0.5000, 0.5000)  12 Er 3.21-3.56
Sn (0.0000, 0.0000, 0.0000)  8 Er 3.02-3.12, 2 Co 3.21
Er (0.6877, 0.3634, 0.3243)  3 Co 2.66-2.83
Er (0.3123, 0.9880, 0.3243)  3 Co 2.66-2.83
Er (0.7914, 0.7630, 0.4456)  1 Co 2.62
Er (0.3123, 0.6366, 0.6757)  3 Co 2.66-2.83
Er (0.2086, 0.2370, 0.5544)  1 Co 2.62
Er (0.2086, 0.7630, 0.0284)  1 Co 2.62
Er (0.5316, 0.7157, 0.1840)  3 Co 2.84-3.00, 1 Sn 3.12
Er (0.4684, 0.2843, 0.8160)  3 Co 2.84-3.00, 1 Sn 3.12
Er (0.6877, 0.0120, 0.6757)  3 Co 2.66-2.83
Er (0.8997, 0.7157, 0.8160)  3 Co 2.84-3.00, 1 Sn 3.12
Er (0.7914, 0.2370, 0.9716)  1 Co 2.62
Er (0.1003, 0.2843, 0.1840)  3 Co 2.84-3.00, 1 Sn 3.12

=====

Entry 12:
The following is a GGA-PBEsol calculation of an optimized crystal structure of Tc2C, from Alexandria.

Formation energy ... -21 meV/atom
Energy relative to the lowest polymorph listed for this composition ... 0.000 eV per atom
Space group ... R3m, No. 160
Magnetic moment ... 0.00 μB per formula unit
Uncorrected energy ... -10.75 eV per atom

abc: 2.8046 2.8046 5.1696
angles: 74.26 74.26 60.00
With the nearest neighbours (Å) after each atom.
Fractional positions:
Tc (0.4254, 0.4254, 0.7237)  3 C 2.09
Tc (0.2391, 0.2391, 0.2827)  3 C 2.15
C (0.0022, 0.0022, 0.9935)  6 Tc 2.09-2.15

=====

Entry 13:
The following is a GGA-PBEsol calculation of an optimized crystal structure of GaFe2AgSn, from Alexandria.

Formation energy ... 1051 meV/atom
Space group ... P4/mmm, No. 123
Magnetic moment ... 5.15 μB per formula unit
Uncorrected energy ... -4.72 eV per atom

abc: 4.4373 4.4373 5.0207
angles: 90.00 90.00 90.00
With the nearest neighbours (Å) after each atom.
Fractional positions:
Ag (0.5000, 0.5000, 0.5000)  4 Sn 3.14, 8 Fe 3.35
Sn (0.0000, 0.0000, 0.5000)  2 Ga 2.51
Ga (0.0000, 0.0000, 0.0000)  4 Fe 2.22
Fe (0.5000, 0.0000, 0.0000)  2 Ga 2.22
Fe (0.0000, 0.5000, 0.0000)  2 Ga 2.22

=====

Entry 14:
The following is a GGA-PBEsol calculation of an optimized crystal structure of CaTeP2Cl, from Alexandria.

Space group ... P4/mmm, No. 123
Magnetic moment ... 0.00 μB per formula unit
Uncorrected energy ... -3.80 eV per atom

abc: 5.0686 5.0686 5.1855
angles: 90.00 90.00 90.00
With the nearest neighbours (Å) after each atom.
Fractional positions:
Ca (0.5000, 0.5000, 0.5000)  4 Cl 3.58, 8 P 3.63
Cl (0.0000, 0.0000, 0.5000)  2 Te 2.59
P (0.0000, 0.5000, 0.0000)  2 Te 2.53
P (0.5000, 0.0000, 0.0000)  2 Te 2.53
Te (0.0000, 0.0000, 0.0000)  4 P 2.53, 2 Cl 2.59

=====

Entry 15:
The following is a GGA-PBEsol calculation of an optimized crystal structure of Rb2HgAsI6, from Alexandria.

Space group ... Fm-3m, No. 225
Magnetic moment ... 0.00 μB per formula unit
Uncorrected energy ... -2.52 eV per atom

abc: 8.2765 8.2765 8.2765
angles: 60.00 60.00 60.00
With the nearest neighbours (Å) after each atom.
Fractional positions:
I (0.7572, 0.2428, 0.7572)  1 As 2.84, 1 Hg 3.01
I (0.2428, 0.2428, 0.7572)  1 As 2.84, 1 Hg 3.01
I (0.7572, 0.2428, 0.2428)  1 As 2.84, 1 Hg 3.01
I (0.2428, 0.7572, 0.7572)  1 As 2.84, 1 Hg 3.01
I (0.2428, 0.7572, 0.2428)  1 As 2.84, 1 Hg 3.01
I (0.7572, 0.7572, 0.2428)  1 As 2.84, 1 Hg 3.01
Rb (0.2500, 0.2500, 0.2500)  12 I 4.14
Rb (0.7500, 0.7500, 0.7500)  12 I 4.14
Hg (0.5000, 0.5000, 0.5000)  6 I 3.01
As (0.0000, 0.0000, 0.0000)  6 I 2.84

=====

Entry 16:
The following is a GGA-PBEsol calculation of an optimized crystal structure of LaSc2Bi2, from Alexandria.

Formation energy ... -638 meV/atom
Space group ... I4/mmm, No. 139
Magnetic moment ... 0.97 μB per formula unit
Uncorrected energy ... -6.06 eV per atom

abc: 4.4021 4.4021 7.8600
angles: 106.26 106.26 90.00
With the nearest neighbours (Å) after each atom.
Fractional positions:
Sc (0.7500, 0.2500, 0.5000)  4 Bi 2.97, 4 Sc 3.11
Sc (0.2500, 0.7500, 0.5000)  4 Bi 2.97, 4 Sc 3.11
La (0.0000, 0.0000, 0.0000)  8 Bi 3.51
Bi (0.3881, 0.3881, 0.7762)  4 Sc 2.97, 1 Bi 3.23
Bi (0.6119, 0.6119, 0.2238)  4 Sc 2.97, 1 Bi 3.23

=====

Entry 17:
The following is a GGA-PBEsol calculation of an optimized crystal structure of Cr2SiHg, from Alexandria.

Space group ... P4/mmm, No. 123
Magnetic moment ... 4.99 μB per formula unit
Uncorrected energy ... -6.23 eV per atom

abc: 3.0134 4.3991 4.3991
angles: 90.00 90.00 90.00
With the nearest neighbours (Å) after each atom.
Fractional positions:
Hg (0.5000, 0.5000, 0.5000)  8 Cr 2.67
Cr (0.0000, 0.0000, 0.5000)  4 Hg 2.67, 4 Si 2.67
Cr (0.0000, 0.5000, 0.0000)  4 Hg 2.67, 4 Si 2.67
Si (0.5000, 0.0000, 0.0000)  8 Cr 2.67

=====

Entry 18:
The following is a GGA-PBEsol calculation of an optimized crystal structure of SnGe2WBr, from Alexandria.

Space group ... P4/mmm, No. 123
Magnetic moment ... 3.24 μB per formula unit
Uncorrected energy ... -4.14 eV per atom

abc: 4.9130 4.9130 5.2870
angles: 90.00 90.00 90.00
With the nearest neighbours (Å) after each atom.
Fractional positions:
Sn (0.0000, 0.0000, 0.5000)  2 Br 2.64
Br (0.0000, 0.0000, 0.0000)  4 Ge 2.46, 2 Sn 2.64
W (0.5000, 0.5000, 0.5000)  4 Sn 3.47, 8 Ge 3.61
Ge (0.0000, 0.5000, 0.0000)  2 Br 2.46
Ge (0.5000, 0.0000, 0.0000)  2 Br 2.46

=====

Entry 19:
The following is a GGA-PBEsol calculation of an optimized crystal structure of Tl2CoSi, from Alexandria.

Energy relative to the lowest polymorph listed for this composition ... 0.000 eV per atom
Space group ... P4mm, No. 99
Magnetic moment ... 0.57 μB per formula unit
Uncorrected energy ... -4.57 eV per atom

abc: 3.0321 3.0321 8.5330
angles: 90.00 90.00 90.00
With the nearest neighbours (Å) after each atom.
Fractional positions:
Co (0.0000, 0.0000, 0.5695)  4 Si 2.31
Tl (0.0000, 0.0000, 0.9503)  4 Tl 3.03, 4 Si 3.22, 1 Co 3.25
Tl (0.5000, 0.5000, 0.3110)  4 Tl 3.03, 1 Si 3.06, 4 Co 3.08
Si (0.5000, 0.5000, 0.6692)  4 Co 2.31

=====

Entry 20:
The following is a GGA-PBEsol calculation of an optimized crystal structure of Be2InIrSe, from Alexandria.

Space group ... P4/mmm, No. 123
Magnetic moment ... 0.00 μB per formula unit
Uncorrected energy ... -4.54 eV per atom

abc: 4.3406 4.3406 4.9486
angles: 90.00 90.00 90.00
With the nearest neighbours (Å) after each atom.
Fractional positions:
Be (0.5000, 0.0000, 0.0000)  2 Ir 2.17
Be (0.0000, 0.5000, 0.0000)  2 Ir 2.17
Ir (0.0000, 0.0000, 0.0000)  4 Be 2.17
In (0.5000, 0.5000, 0.5000)  4 Se 3.07, 8 Be 3.29
Se (0.0000, 0.0000, 0.5000)  2 Ir 2.47